This record from OQMD describes a geometry-optimized NbRe structure. The functional is GGA-PBE.

Cell lengths 2.7870, 2.7870, 4.9287 Å; angles 90.00, 90.00, 120.00 degrees
Space group P-6m2 (No. 187)
One atom of each set of equivalent atoms:
Nb (0.0000, 0.0000, 0.0000) [1 per cell]
Re (0.6667, 0.3333, 0.5000) [1 per cell]

Computed properties:
* ΔH_f (0 K): 0.288 eV/atom
* volume: 16.58 Å³ per atom

***

This record from OQMD describes a geometry-optimized NbRe2Sb structure. The functional is GGA-PBE.

Cell lengths 6.4813, 6.4813, 6.4813 Å; angles 90.00, 90.00, 90.00 degrees
Space group F-43m (No. 216)
One atom of each set of equivalent atoms:
Nb (0.0000, 0.0000, 0.0000) [4 per cell]
Re (0.0000, 0.0000, 0.5000) [4 per cell]
Re (0.2500, 0.2500, 0.2500) [4 per cell]
Sb (0.2500, 0.2500, 0.7500) [4 per cell]

Computed properties:
* volume: 17.02 Å³ per atom
* VASP energy: -37.183 eV/f.u.